Entry 1:
Here is crystalline Tm2Sc2Ge2C at its relaxed geometry from the Alexandria database. Energies are from PBE.

The space group is I4/mmm (No. 139) and the conventional cell measures 4.384, 4.384 and 14.877 Å, with angles of 90.00, 90.00 and 90.00 degrees. Symmetry generates all atoms from Tm at (0.000, 0.000, 0.165), Sc at (0.000, 0.500, 0.000), Ge at (0.000, 0.000, 0.365) and C at (0.000, 0.000, 0.000).

The value obtained for the formation enthalpy at 0 K is -0.842 eV per atom. The value obtained for the calculated volume is 20.422 A^3/atom. The crystal system is tetragonal. The calculation puts the total magnetic moment at 0.00 Bohr magnetons per cell. The calculation puts the theoretical density at 6.796 g cm⁻³.

Entry 2:
Here is crystalline Er3Ga3Pt2 at its relaxed geometry from the Alexandria database. Energies are from PBE.

The space group is Pnma (No. 62) and the conventional cell measures 8.064, 14.768 and 5.566 Å, with angles of 90.00, 90.00 and 90.00 degrees. Symmetry generates all atoms from Er at (0.041, 0.111, 0.120), Er at (0.185, 0.250, 0.636), Ga at (0.169, 0.750, 0.636), Ga at (0.191, 0.035, 0.612) and Pt at (0.092, 0.609, 0.373).

The value obtained for the formation enthalpy at 0 K is -0.935 eV per atom. The value obtained for the calculated volume is 20.715 A^3/atom. The crystal system is orthorhombic. The calculation puts the total magnetic moment at 0.00 Bohr magnetons per cell. The calculation puts the theoretical density at 11.033 g cm⁻³.

Entry 3:
Here is crystalline Pm2Er3ScSe6 at its relaxed geometry from the Alexandria database. Energies are from PBE.

The space group is C2/m (No. 12) and the conventional cell measures 17.732, 4.049 and 8.191 Å, with angles of 90.00, 103.49 and 90.00 degrees. Symmetry generates all atoms from Pm at (0.168, 0.000, 0.335), Er at (0.000, 0.500, 0.500), Er at (0.172, 0.000, 0.835), Sc at (0.000, 0.500, 0.000), Se at (0.005, 0.000, 0.759), Se at (0.161, 0.500, 0.071) and Se at (0.162, 0.500, 0.592).

Its uncorrected formation energy is -165.4 kJ/mol of atoms. The value obtained for the calculated volume is 23.827 A^3/atom. The crystal system is monoclinic. The calculation puts the total magnetic moment at 0.00 Bohr magnetons per cell. The calculation puts the theoretical density at 7.611 g cm⁻³.

Entry 4:
Here is crystalline Pu2TaSi2Ru5 at its relaxed geometry from the Alexandria database. Energies are from PBE.

The space group is P4/mbm (No. 127) and the conventional cell measures 10.167, 10.167 and 3.196 Å, with angles of 90.00, 90.00 and 90.00 degrees. Symmetry generates all atoms from Pu at (0.174, 0.326, 0.000), Ta at (0.000, 0.000, 0.000), Si at (0.126, 0.626, 0.000), Ru at (0.000, 0.500, 0.500) and Ru at (0.065, 0.793, 0.500).

Its uncorrected formation energy is -43.6 kJ/mol of atoms. The value obtained for the calculated volume is 16.517 A^3/atom. The crystal system is tetragonal. The calculation puts the total magnetic moment at 18.91 Bohr magnetons per cell. The calculation puts the theoretical density at 12.371 g cm⁻³.

Entry 5:
Here is crystalline Na2BH6Au at its relaxed geometry from the Alexandria database. Energies are from PBE.

The space group is P1 (No. 1) and the conventional cell measures 4.398, 5.030 and 6.268 Å, with angles of 83.50, 72.45 and 76.95 degrees. Symmetry generates all atoms from Na at (0.000, 0.000, 0.000), Na at (0.099, 0.471, 0.415), B at (0.686, 0.568, 0.099), H at (0.026, 0.944, 0.392), H at (0.297, 0.219, 0.710), H at (0.562, 0.381, 0.076), H at (0.586, 0.643, 0.292), H at (0.613, 0.761, 0.970), H at (0.985, 0.495, 0.046) and Au at (0.657, 0.068, 0.554).

The value obtained for the calculated volume is 12.865 A^3/atom. The crystal system is triclinic. The calculation puts the total magnetic moment at 0.00 Bohr magnetons per cell. The total energy comes out at -3.51 eV/atom. The calculation puts the theoretical density at 3.353 g cm⁻³.

Entry 6:
Here is crystalline Ac2In2NiSn4 at its relaxed geometry from the Alexandria database. Energies are from PBE.

The space group is I4/mmm (No. 139) and the conventional cell measures 7.137, 7.137 and 9.672 Å, with angles of 90.00, 90.00 and 90.00 degrees. Symmetry generates all atoms from Ac at (0.000, 0.500, 0.250), In at (0.000, 0.000, 0.226), Ni at (0.000, 0.000, 0.500) and Sn at (0.237, 0.237, 0.000).

The value obtained for the formation enthalpy at 0 K is -0.415 eV per atom. The value obtained for the calculated volume is 27.367 A^3/atom. The crystal system is tetragonal. The calculation puts the total magnetic moment at 0.00 Bohr magnetons per cell. The calculation puts the theoretical density at 8.206 g cm⁻³.